The following is a DFT calculation (SCAN) of a crystal of CaPdSe2N relaxed with PBEsol.

## Properties
- Raw total energy: -93.2 eV/cell

Cell lengths 5.172, 5.172, 3.685 Å; angles 90.00, 90.00, 90.00 degrees
Space group P4/mmm (No. 123)
One atom of each set of equivalent atoms:
Ca (0.000, 0.000, 0.000) [1 per cell]
Pd (0.500, 0.500, 0.500) [1 per cell]
Se (0.000, 0.500, 0.500) [2 per cell]
N (0.500, 0.500, 0.000) [1 per cell]